Density functional theory data (GGA-PBE) for LaSbAs2 after structural relaxation.

CIF file:
```
data_LaSbAs2
_chemical_formula_sum 'La1 Sb1 As2'
_space_group_name_H-M_alt 'P 1'
_space_group_IT_number 1
_cell_length_a 6.160
_cell_length_b 6.160
_cell_length_c 4.442
_cell_angle_alpha 91.62
_cell_angle_beta 91.62
_cell_angle_gamma 39.37
loop_
_space_group_symop_operation_xyz
'x,y,z'
loop_
_atom_site_label
_atom_site_fract_x
_atom_site_fract_y
_atom_site_fract_z
Sb1 0.245 0.245 0.083
As1 0.020 0.020 0.128
As2 0.758 0.758 0.663
La1 0.476 0.476 0.626
```

Values from the calculation:
Formation energy (no corrections): -3.09 eV per formula unit


Density functional theory data (GGA-PBE) for Ho4BeNi3 after structural relaxation.

CIF file:
```
data_Ho4BeNi3
_chemical_formula_sum 'Ho4 Be1 Ni3'
_space_group_name_H-M_alt 'P 1'
_space_group_IT_number 1
_cell_length_a 3.738
_cell_length_b 4.163
_cell_length_c 10.198
_cell_angle_alpha 90.00
_cell_angle_beta 90.00
_cell_angle_gamma 90.00
loop_
_space_group_symop_operation_xyz
'x,y,z'
loop_
_atom_site_label
_atom_site_fract_x
_atom_site_fract_y
_atom_site_fract_z
Be1 0.500 0.500 0.058
Ho1 0.500 0.500 0.363
Ho2 0.000 0.500 0.856
Ho3 0.000 0.000 0.141
Ho4 0.500 0.000 0.638
Ni1 0.000 0.500 0.574
Ni2 0.000 0.000 0.428
Ni3 0.500 0.000 0.942
```

Values from the calculation:
ΔE_f: -0.353 eV per atom


Density functional theory data (GGA-PBE) for MgNp2O8 after structural relaxation.

CIF file:
```
data_MgNp2O8
_chemical_formula_sum 'Mg1 Np2 O8'
_space_group_name_H-M_alt 'P 1'
_space_group_IT_number 1
_cell_length_a 5.029
_cell_length_b 5.617
_cell_length_c 5.617
_cell_angle_alpha 74.30
_cell_angle_beta 79.16
_cell_angle_gamma 79.16
loop_
_space_group_symop_operation_xyz
'x,y,z'
loop_
_atom_site_label
_atom_site_fract_x
_atom_site_fract_y
_atom_site_fract_z
Mg1 0.000 0.000 0.000
Np1 0.454 0.295 0.295
Np2 0.546 0.705 0.705
O1 0.301 0.660 0.067
O2 0.699 0.933 0.340
O3 0.206 0.172 0.172
O4 0.794 0.828 0.828
O5 0.301 0.067 0.660
O6 0.699 0.340 0.933
O7 0.725 0.402 0.402
O8 0.275 0.598 0.598
```

Values from the calculation:
Formation energy (no corrections): -27.05 eV per formula unit